(1)
LiAsAu: optimized geometry, PBE-GGA.

Cell lengths 2.875, 2.875, 12.267 Å; angles 90.00, 90.00, 90.00 degrees
Space group I4mm (No. 107)
Unique sites:
1 Li 0.000 0.000 0.000
2 As 0.000 0.000 0.658
3 Au 0.000 0.000 0.348

Calculated values
Energy of formation ... -0.241 eV per atom
E ... -3.52 eV/atom
V ... 16.9 Å³/atom
Calculated density ... 9131 kg/m3

=====

(2)
PrDy4Pd5: optimized geometry, PBE-GGA.

Cell lengths 3.494, 3.494, 18.080 Å; angles 90.00, 90.00, 90.00 degrees
Space group P4/mmm (No. 123)
Unique sites:
1 Pr 0.000 0.000 0.000
2 Dy 0.000 0.000 0.205
3 Dy 0.000 0.000 0.402
4 Pd 0.500 0.500 0.113
5 Pd 0.500 0.500 0.304
6 Pd 0.500 0.500 0.500

Calculated values
Energy of formation ... -0.848 eV per atom
E ... -5.76 eV/atom
V ... 22.1 Å³/atom
Calculated density ... 9954 kg/m3